First-principles (meta-GGA SCAN) data for a crystal of FeMoCl2 relaxed with PBEsol, as listed in the Alexandria database.

For the magnetization, the calculation gives 0.000 μB/atom. The value obtained for the volume is 18.10 A^3/atom. Its energy above the lowest structure with this stoichiometry is 249.7 meV per atom. For the uncorrected formation energy, the calculation gives 162 meV/atom.

Cell: 2.9500 3.0675 8.2803 Å, 100.67 100.26 90.00°
With the nearest neighbours (Å) after each atom.
Atoms (fractional coordinates):
1 Mo 0.3285 0.8285 0.6569  2 Fe 2.18
2 Fe 0.4257 0.4257 0.8514  2 Mo 2.18
3 Cl 0.0172 0.0172 0.0344  4 Fe 2.58
4 Cl 0.7286 0.2286 0.4573  4 Mo 2.66, 2 Cl 2.95